Material: AcMgGe
Method: DFT, GGA-PBE
State: relaxed

For the density, the calculation gives 6.41 g/cm³. The formation energy is -0.52 eV per atom. For the offset from the most stable computed form, the calculation gives 0.0382 eV/atom.

a = 4.6134 Å, b = 4.5847 Å, c = 4.5847 Å
α = 120.00°, β = 90.00°, γ = 90.00°
Last column: nearest neighbours and their distance in Å.
Element x y z (fractional)
Ge 0.1665 0.0000 0.0000  3 Mg 2.65
Ac 0.6668 0.6667 0.3333  6 Ge 3.51, 6 Mg 3.51
Mg 0.1668 0.3333 0.6667  3 Ge 2.65